Record 1
VASP calculation (PBE-GGA) on crystalline Tl4CrSe at its relaxed geometry.

Geometry as POSCAR:
```
Tl4CrSe
1.0
0.838 -0.497 6.259
-4.150 2.669 3.973
-3.884 -3.637 3.437
Cr Se Tl
1 1 4
Direct
0.750 0.750 0.750
0.000 0.000 0.000
0.875 0.375 0.375
0.375 0.875 0.375
0.375 0.375 0.375
0.375 0.375 0.875
```

Crystal system = cubic



Record 2
VASP calculation (PBE-GGA) on crystalline Tl4CrSe4 at its relaxed geometry.

Geometry as POSCAR:
```
Tl4CrSe4
1.0
-3.122 -0.813 -2.422
2.396 -5.146 -4.720
-2.921 -8.167 3.147
Se Cr Tl
4 1 4
Direct
0.340 0.052 0.269
0.915 0.239 0.931
0.085 0.761 0.069
0.660 0.948 0.731
0.500 0.000 0.000
0.914 0.760 0.412
0.304 0.610 0.782
0.696 0.390 0.218
0.086 0.240 0.588
```

Crystal system = monoclinic



Record 3
VASP calculation (PBE-GGA) on crystalline TlCr2Se at its relaxed geometry.

Geometry as POSCAR:
```
TlCr2Se
1.0
-5.751 0.513 -4.521
4.124 -2.491 -5.529
-1.673 -4.065 -4.280
Tl Cr Se
2 4 2
Direct
0.000 0.000 0.000
0.750 0.250 0.500
0.375 0.416 0.750
0.584 0.125 0.250
0.875 0.834 0.750
0.166 0.625 0.250
0.500 0.500 0.000
0.250 0.750 0.500
```

Crystal system = tetragonal



Record 4
VASP calculation (PBE-GGA) on crystalline TlCr3Se6 at its relaxed geometry.

Geometry as POSCAR:
```
TlCr3Se6
1.0
-3.472 -0.673 0.699
3.144 -7.272 8.616
-1.251 10.590 3.991
Se Cr Tl
12 6 2
Direct
0.750 0.573 0.371
0.250 0.657 0.140
0.750 0.343 0.860
0.250 0.859 0.450
0.750 0.752 0.672
0.250 0.248 0.328
0.250 0.427 0.629
0.250 0.053 0.761
0.750 0.947 0.239
0.750 0.128 0.057
0.250 0.872 0.943
0.750 0.141 0.550
0.750 0.310 0.486
0.250 0.036 0.154
0.750 0.752 0.290
0.250 0.248 0.710
0.250 0.690 0.514
0.750 0.964 0.846
0.750 0.620 0.882
0.250 0.380 0.118
```

Crystal system = monoclinic



Record 5
VASP calculation (PBE-GGA) on crystalline TlCrSe2 at its relaxed geometry.

Geometry as POSCAR:
```
TlCrSe2
1.0
-8.567 -0.297 -4.351
-7.828 -3.548 -4.306
-9.232 -2.121 -1.640
Se Tl Cr
2 1 1
Direct
0.384 0.384 0.384
0.276 0.276 0.276
0.162 0.162 0.162
0.996 0.996 0.996
```

Crystal system = trigonal



Record 6
VASP calculation (PBE-GGA) on crystalline TlCrSe2 at its relaxed geometry.

Geometry as POSCAR:
```
TlCrSe2
1.0
-5.375 0.361 5.872
-7.899 0.189 1.034
6.588 -3.001 -3.330
Cr Se Tl
1 2 1
Direct
0.750 0.250 0.500
0.000 0.000 0.000
0.250 0.750 0.500
0.500 0.500 0.000
```

Crystal system = tetragonal



no.,E_form (uncorrected) (eV per atom),ρ (g/cm3)
1,0.479,8.76
2,-0.367,7.88
3,0.453,7.29
4,-0.437,6.15
5,-0.313,7.58
6,0.088,6.17